VASP calculation (PBE) on a geometry-optimized Tb4Er3Tl4 structure.

Cell and atoms, written as POSCAR:
```
Tb4Er3Tl4
1.0
3.641 0.000 0.000
0.000 9.415 0.000
-1.821 -4.708 9.427
Er Tl Tb
3 4 4
Direct
0.904 0.904 0.808
0.096 0.096 0.192
0.000 0.500 0.000
0.500 0.781 0.000
0.500 0.219 0.000
0.729 0.229 0.458
0.271 0.771 0.542
0.339 0.154 0.677
0.339 0.523 0.677
0.661 0.846 0.323
0.661 0.477 0.323
```

Results
Energy of formation from the pure elements ... -0.220 eV per atom
Magnetic moment ... 0.00 μB/atom



VASP calculation (PBE) on a geometry-optimized Tb6Er12Tl structure.

Cell and atoms, written as POSCAR:
```
Tb6Er12Tl
1.0
-5.872 -4.731 3.695
5.734 -3.481 5.052
-1.317 5.887 5.842
Er Tb Tl
12 6 1
Direct
0.540 0.434 0.778
0.012 0.189 0.361
0.189 0.361 0.012
0.460 0.566 0.222
0.434 0.778 0.540
0.566 0.222 0.460
0.988 0.811 0.639
0.778 0.540 0.434
0.361 0.012 0.189
0.811 0.639 0.988
0.639 0.988 0.811
0.222 0.460 0.566
0.258 0.094 0.699
0.699 0.258 0.094
0.906 0.301 0.742
0.094 0.699 0.258
0.301 0.742 0.906
0.742 0.906 0.301
0.000 0.000 0.000
```

Results
Energy of formation from the pure elements ... 0.090 eV per atom
Magnetic moment ... 0.00 μB/atom